Run i
Below is a geometry-optimized ZrNbSb2 structure, with properties calculated at the PBE level.

Cell: 4.0069 7.4865 8.3996 Å, 122.96 103.81 90.03°
Closest atoms and distances in Å follow each position.
Fractional coordinates of all 8 atoms:
1 Nb 0.4319 0.4728 0.4389  4 Sb 2.74-2.85, 1 Nb 2.94
2 Nb 0.2290 0.0867 0.0320  4 Sb 2.74-2.85, 1 Nb 2.94
3 Zr 0.9358 0.7964 0.4461  6 Sb 2.93-3.11, 2 Nb 3.12
4 Zr 0.7251 0.7631 0.0249  6 Sb 2.93-3.11, 2 Nb 3.12
5 Sb 0.0666 0.5805 0.7079  2 Nb 2.74, 2 Zr 2.93
6 Sb 0.5942 0.9790 0.7630  2 Nb 2.74, 2 Zr 2.93
7 Sb 0.2696 0.5106 0.1151  2 Nb 2.81-2.85, 4 Zr 3.07-3.11
8 Sb 0.3913 0.0490 0.3558  2 Nb 2.81-2.85, 4 Zr 3.07-3.11

Symmetry ... C2/m

=====

Run ii
Below is a geometry-optimized ZrNbSb2 structure, with properties calculated at the PBE level.

Cell: 4.9359 4.9359 4.9359 Å, 60.00 60.00 60.00°
Closest atoms and distances in Å follow each position.
Fractional coordinates of all 4 atoms:
1 Nb 0.5000 0.5000 0.5000  8 Sb 3.02
2 Sb 0.2500 0.2500 0.2500  4 Nb 3.02, 4 Zr 3.02
3 Sb 0.7500 0.7500 0.7500  4 Zr 3.02, 4 Nb 3.02
4 Zr 0.0000 0.0000 0.0000  8 Sb 3.02

Symmetry ... Fm-3m

=====

Of them, run ii has the highest stability.

=====

Run i
Below is a geometry-optimized ScNb structure, with properties calculated at the PBE level.

Cell: 5.0674 5.0674 11.0289 Å, 90.00 90.00 120.00°
Closest atoms and distances in Å follow each position.
Fractional coordinates of all 12 atoms:
1 Sc 0.0000 0.0000 0.6347  4 Nb 2.76-3.07, 4 Sc 2.97-3.01
2 Sc 0.0000 0.0000 0.3653  4 Nb 2.76-3.07, 4 Sc 2.97-3.01
3 Sc 0.6667 0.3333 0.9681  4 Nb 2.76-3.07, 4 Sc 2.97-3.01
4 Sc 0.6667 0.3333 0.6986  4 Nb 2.76-3.07, 4 Sc 2.97-3.01
5 Sc 0.3333 0.6667 0.3014  4 Nb 2.76-3.07, 4 Sc 2.97-3.01
6 Sc 0.3333 0.6667 0.0319  4 Nb 2.76-3.07, 4 Sc 2.97-3.01
7 Nb 0.0000 0.0000 0.8847  1 Nb 2.54, 1 Sc 2.76
8 Nb 0.3333 0.6667 0.5514  1 Nb 2.54, 1 Sc 2.76
9 Nb 0.3333 0.6667 0.7820  1 Nb 2.54, 1 Sc 2.76
10 Nb 0.6667 0.3333 0.4486  1 Nb 2.54, 1 Sc 2.76
11 Nb 0.6667 0.3333 0.2180  1 Nb 2.54, 1 Sc 2.76
12 Nb 0.0000 0.0000 0.1153  1 Nb 2.54, 1 Sc 2.76

Symmetry ... R-3m

=====

Run ii
Below is a geometry-optimized ScNb structure, with properties calculated at the PBE level.

Cell: 2.8723 5.7417 5.0983 Å, 90.00 90.00 90.00°
Closest atoms and distances in Å follow each position.
Fractional coordinates of all 4 atoms:
1 Sc 0.5000 0.0000 0.0000  6 Nb 2.87-2.93, 2 Sc 2.87
2 Sc 0.0000 0.5000 0.5000  6 Nb 2.87-2.93, 2 Sc 2.87
3 Nb 0.0000 0.0000 0.5000  6 Sc 2.87-2.93, 2 Nb 2.87
4 Nb 0.5000 0.5000 0.0000  6 Sc 2.87-2.93, 2 Nb 2.87

Symmetry ... Immm

=====

Run iii
Below is a geometry-optimized ScNb structure, with properties calculated at the PBE level.

Cell: 8.5399 8.5399 8.5399 Å, 90.00 90.00 90.00°
Closest atoms and distances in Å follow each position.
Fractional coordinates of all 16 atoms:
1 Nb 0.3917 0.6083 0.6083  3 Nb 2.62, 1 Sc 2.70
2 Nb 0.3917 0.3917 0.3917  3 Nb 2.62, 1 Sc 2.70
3 Nb 0.6083 0.3917 0.6083  3 Nb 2.62, 1 Sc 2.70
4 Nb 0.8917 0.8917 0.8917  3 Nb 2.62, 1 Sc 2.70
5 Nb 0.6083 0.6083 0.3917  3 Nb 2.62, 1 Sc 2.70
6 Nb 0.8917 0.1083 0.1083  3 Nb 2.62, 1 Sc 2.70
7 Nb 0.1083 0.1083 0.8917  3 Nb 2.62, 1 Sc 2.70
8 Nb 0.1083 0.8917 0.1083  3 Nb 2.62, 1 Sc 2.70
9 Sc 0.2092 0.2092 0.2092  4 Nb 2.70-2.97
10 Sc 0.7092 0.2908 0.2908  4 Nb 2.70-2.97
11 Sc 0.7908 0.2092 0.7908  4 Nb 2.70-2.97
12 Sc 0.2908 0.2908 0.7092  4 Nb 2.70-2.97
13 Sc 0.7908 0.7908 0.2092  4 Nb 2.70-2.97
14 Sc 0.7092 0.7092 0.7092  4 Nb 2.70-2.97
15 Sc 0.2092 0.7908 0.7908  4 Nb 2.70-2.97
16 Sc 0.2908 0.7092 0.2908  4 Nb 2.70-2.97

Symmetry ... I-43m

=====

Of them, run i has the highest stability.

=====

Run i
Below is a geometry-optimized ScNb structure, with properties calculated at the PBE level.

Cell: 3.0146 4.7211 5.9376 Å, 90.00 102.00 90.00°
Closest atoms and distances in Å follow each position.
Fractional coordinates of all 4 atoms:
1 Sc 0.6851 0.7500 0.3531  7 Nb 2.97-3.30, 6 Sc 3.01-3.29
2 Sc 0.3149 0.2500 0.6469  7 Nb 2.97-3.30, 6 Sc 3.01-3.29
3 Nb 0.8793 0.7500 0.8824  4 Nb 2.76-3.01, 4 Sc 2.97-3.07
4 Nb 0.1207 0.2500 0.1176  4 Nb 2.76-3.01, 4 Sc 2.97-3.07

Symmetry ... P2_1/m

=====

Run ii
Below is a geometry-optimized ScNb structure, with properties calculated at the PBE level.

Cell: 4.9828 4.9828 5.2286 Å, 90.00 90.00 120.00°
Closest atoms and distances in Å follow each position.
Fractional coordinates of all 4 atoms:
1 Nb 0.3333 0.6667 0.7500  5 Sc 2.61-2.88
2 Nb 0.6667 0.3333 0.2500  5 Sc 2.61-2.88
3 Sc 0.6667 0.3333 0.7500  5 Nb 2.61-2.88
4 Sc 0.3333 0.6667 0.2500  5 Nb 2.61-2.88

Symmetry ... P6_3/mmc

=====

Run iii
Below is a geometry-optimized ScNb structure, with properties calculated at the PBE level.

Cell: 8.8625 8.8625 4.5803 Å, 90.00 90.00 90.00°
Closest atoms and distances in Å follow each position.
Fractional coordinates of all 16 atoms:
1 Sc 0.7759 0.1375 0.5000  4 Nb 2.84-3.07, 2 Sc 3.02
2 Sc 0.1375 0.2241 0.5000  4 Nb 2.84-3.07, 2 Sc 3.02
3 Sc 0.8625 0.7759 0.5000  4 Nb 2.84-3.07, 2 Sc 3.02
4 Sc 0.3340 0.0547 0.0000  4 Nb 2.92-3.22, 5 Sc 3.02-3.24
5 Sc 0.6660 0.9453 0.0000  4 Nb 2.92-3.22, 5 Sc 3.02-3.24
6 Sc 0.2241 0.8625 0.5000  4 Nb 2.84-3.07, 2 Sc 3.02
7 Sc 0.0547 0.6660 0.0000  4 Nb 2.92-3.22, 5 Sc 3.02-3.24
8 Sc 0.9453 0.3340 0.0000  4 Nb 2.92-3.22, 5 Sc 3.02-3.24
9 Nb 0.3048 0.3827 0.0000  6 Nb 2.77-2.98, 3 Sc 2.92-3.07
10 Nb 0.6952 0.6173 0.0000  6 Nb 2.77-2.98, 3 Sc 2.92-3.07
11 Nb 0.3827 0.6952 0.0000  6 Nb 2.77-2.98, 3 Sc 2.92-3.07
12 Nb 0.7685 0.4584 0.5000  4 Nb 2.77-2.98, 4 Sc 2.84-2.99
13 Nb 0.5416 0.7685 0.5000  4 Nb 2.77-2.98, 4 Sc 2.84-2.99
14 Nb 0.6173 0.3048 0.0000  6 Nb 2.77-2.98, 3 Sc 2.92-3.07
15 Nb 0.2315 0.5416 0.5000  4 Nb 2.77-2.98, 4 Sc 2.84-2.99
16 Nb 0.4584 0.2315 0.5000  4 Nb 2.77-2.98, 4 Sc 2.84-2.99

Symmetry ... P4/m

=====

Of them, run i has the highest stability.

=====

Run i
Below is a geometry-optimized Sc2NbSn2 structure, with properties calculated at the PBE level.

Cell: 3.9950 3.9950 7.5298 Å, 74.62 74.62 90.00°
Closest atoms and distances in Å follow each position.
Fractional coordinates of all 5 atoms:
1 Sc 0.2500 0.7500 0.5000  4 Sc 2.82, 4 Sn 2.92
2 Sc 0.7500 0.2500 0.5000  4 Sc 2.82, 4 Sn 2.92
3 Sn 0.4029 0.4029 0.1943  1 Sn 2.71, 4 Sc 2.92
4 Sn 0.5971 0.5971 0.8057  1 Sn 2.71, 4 Sc 2.92
5 Nb 0.0000 0.0000 0.0000  8 Sn 3.13

Symmetry ... I4/mmm

=====

Run ii
Below is a geometry-optimized Sc2NbSn2 structure, with properties calculated at the PBE level.

Cell: 7.4896 7.4896 3.9663 Å, 90.00 90.00 90.00°
Closest atoms and distances in Å follow each position.
Fractional coordinates of all 10 atoms:
1 Sc 0.1690 0.6690 0.5000  6 Sn 2.85-3.05
2 Sc 0.3310 0.1690 0.5000  6 Sn 2.85-3.05
3 Sc 0.6690 0.8310 0.5000  6 Sn 2.85-3.05
4 Sc 0.8310 0.3310 0.5000  6 Sn 2.85-3.05
5 Sn 0.3617 0.8617 0.0000  6 Sc 2.85-3.05, 2 Nb 2.90, 1 Sn 2.93
6 Sn 0.1383 0.3617 0.0000  6 Sc 2.85-3.05, 2 Nb 2.90, 1 Sn 2.93
7 Sn 0.6383 0.1383 0.0000  6 Sc 2.85-3.05, 2 Nb 2.90, 1 Sn 2.93
8 Sn 0.8617 0.6383 0.0000  6 Sc 2.85-3.05, 2 Nb 2.90, 1 Sn 2.93
9 Nb 0.0000 0.0000 0.0000  4 Sn 2.90
10 Nb 0.5000 0.5000 0.0000  4 Sn 2.90

Symmetry ... P4/mbm

=====

Of them, run ii has the highest stability.

=====

Run i
Below is a geometry-optimized Sr2ScNb structure, with properties calculated at the PBE level.

Cell: 5.6729 5.6729 5.6729 Å, 60.00 60.00 60.00°
Closest atoms and distances in Å follow each position.
Fractional coordinates of all 4 atoms:
1 Sr 0.7500 0.7500 0.7500  4 Nb 3.47, 4 Sc 3.47
2 Sr 0.2500 0.2500 0.2500  4 Nb 3.47, 4 Sc 3.47
3 Nb 0.5000 0.5000 0.5000  8 Sr 3.47
4 Sc 0.0000 0.0000 0.0000  8 Sr 3.47

Symmetry ... Fm-3m

=====

Run ii
Below is a geometry-optimized Sr2ScNb structure, with properties calculated at the PBE level.

Cell: 9.0334 9.0334 7.1483 Å, 50.81 50.81 90.00°
Closest atoms and distances in Å follow each position.
Fractional coordinates of all 8 atoms:
1 Sr 0.8750 0.8919 0.7500  2 Nb 3.19, 2 Sr 3.22, 2 Sc 3.40
2 Sr 0.3750 0.3581 0.7500  2 Nb 3.19, 2 Sr 3.22, 2 Sc 3.40
3 Sr 0.6419 0.1250 0.2500  2 Nb 3.19, 2 Sr 3.22, 2 Sc 3.40
4 Sr 0.1081 0.6250 0.2500  2 Nb 3.19, 2 Sr 3.22, 2 Sc 3.40
5 Sc 0.5000 0.5000 0.0000  2 Nb 3.21, 4 Sr 3.40
6 Sc 0.2500 0.7500 0.5000  2 Nb 3.21, 4 Sr 3.40
7 Nb 0.0000 0.0000 0.0000  4 Sr 3.19, 2 Sc 3.21
8 Nb 0.7500 0.2500 0.5000  4 Sr 3.19, 2 Sc 3.21

Symmetry ... I-42d

=====

Of them, run i has the highest stability.